Crystalline MnRh2SeO at its relaxed geometry. Source: Alexandria, functional PBE+U.

Summary:
DFT total energy = -4.2991 eV per atom
N(E_F) = 6.7 states/eV per cell
calculated density = 6.63 Mg/m³

Structure (CIF):
```
data_MnRh2SeO
_cell_length_a 4.5258
_cell_length_b 4.5258
_cell_length_c 4.3467
_cell_angle_alpha 90.00
_cell_angle_beta 90.00
_cell_angle_gamma 90.00
_space_group_name_H-M_alt 'P 4/m m m'
_space_group_IT_number 123
_space_group_name_Hall '-P 4 2'
loop_
_atom_site_label
_atom_site_type_symbol
_atom_site_fract_x
_atom_site_fract_y
_atom_site_fract_z
Mn1 Mn 0.0000 0.0000 0.0000
Rh1 Rh 0.0000 0.5000 0.0000
Se1 Se 0.0000 0.0000 0.5000
O1 O 0.5000 0.5000 0.5000
```